A plane-wave DFT calculation with GGA-PBE was carried out for crystalline Tb2PrTm3 at its relaxed geometry.

Geometry as POSCAR:
```
Tb2PrTm3
1.0
4.468 -4.865 0.000
4.468 4.865 0.000
-1.905 0.000 8.719
Tb Pr Tm
4 2 6
Direct
0.124 0.629 0.874
0.371 0.876 0.626
0.629 0.124 0.374
0.876 0.371 0.126
0.410 0.590 0.250
0.590 0.410 0.750
0.076 0.924 0.250
0.169 0.336 0.504
0.336 0.169 0.004
0.664 0.831 0.996
0.831 0.664 0.496
0.924 0.076 0.750
```

excess energy over the best structure of this formula in the dataset = 49 meV per atom
crystal system = monoclinic
calculated formation energy = 0.071 eV/atom
density of states at the Fermi level = 19.67 states/eV/cell